Record 1
# LaScCd2 | Alexandria via LeMat-Bulk | PBE | relaxed
# **Energy relative to the elements**: -0.4 eV/f.u.
# **Distance to the lowest polymorph of the same formula**: 0.192 eV/atom
data_LaScCd2
_space_group_name_H-M_alt 'I -4 m 2'
_space_group_IT_number 119
_space_group_name_Hall 'I -4 -2'
_cell_length_a 4.6196
_cell_length_b 4.6196
_cell_length_c 9.8649
_cell_angle_alpha 90.00
_cell_angle_beta 90.00
_cell_angle_gamma 90.00
loop_
_atom_site_label
_atom_site_type_symbol
_atom_site_fract_x
_atom_site_fract_y
_atom_site_fract_z
_atom_site_occupancy
La1 La 0.0000 0.0000 0.0000 1
Sc1 Sc 0.0000 0.5000 0.7500 1
Cd1 Cd 0.0000 0.0000 0.5000 1
Cd2 Cd 0.0000 0.5000 0.2500 1


Record 2
# La2ScCd | Alexandria via LeMat-Bulk | PBE | relaxed
# **Energy relative to the elements**: -0.5 eV/f.u.
data_La2ScCd
_space_group_name_H-M_alt 'P 4 m m'
_space_group_IT_number 99
_space_group_name_Hall 'P 4 -2'
_cell_length_a 3.6613
_cell_length_b 3.6613
_cell_length_c 8.8626
_cell_angle_alpha 90.00
_cell_angle_beta 90.00
_cell_angle_gamma 90.00
loop_
_atom_site_label
_atom_site_type_symbol
_atom_site_fract_x
_atom_site_fract_y
_atom_site_fract_z
_atom_site_occupancy
La1 La 0.0000 0.0000 0.0000 1
La2 La 0.5000 0.5000 0.3031 1
Sc1 Sc 0.0000 0.0000 0.5643 1
Cd1 Cd 0.5000 0.5000 0.7427 1